Record 1
Crystalline ThCd2Ag at its relaxed geometry, computed with PBE.

The calculation puts the theoretical density at 9.7 Mg/m³. The calculation puts the uncorrected energy at -3.069 eV/atom. The density of states at the Fermi level is 2.37 states/eV/f.u.

The structure in CIF format:
```
data_ThCd2Ag
_chemical_formula_sum 'Th2 Cd4 Ag2'
_cell_length_a 5.351
_cell_length_b 4.876
_cell_length_c 7.501
_cell_angle_alpha 90.00
_cell_angle_beta 96.85
_cell_angle_gamma 90.00
_symmetry_space_group_name_H-M 'P 1 21/m 1'
_symmetry_Int_Tables_number 11
loop_
_symmetry_equiv_pos_as_xyz
'x,y,z'
'-x,-y,-z'
'-x,y+1/2,-z'
'x,-y+1/2,z'
loop_
_atom_site_label
_atom_site_type_symbol
_atom_site_fract_x
_atom_site_fract_y
_atom_site_fract_z
Th1 Th 0.033 0.250 0.163
Cd1 Cd 0.407 0.750 0.564
Cd2 Cd 0.497 0.750 0.119
Ag1 Ag 0.100 0.250 0.601
```

=====

Record 2
Crystalline Th2Cd3Ag at its relaxed geometry, computed with PBE.

The calculation puts the theoretical density at 10.1 Mg/m³. The offset from the most stable computed form is 0.0 meV/atom. The density of states at the Fermi level is 4.46 states/eV/f.u.

The structure in CIF format:
```
data_Th2Cd3Ag
_chemical_formula_sum 'Th2 Cd3 Ag1'
_cell_length_a 3.359
_cell_length_b 5.071
_cell_length_c 8.793
_cell_angle_alpha 90.00
_cell_angle_beta 90.00
_cell_angle_gamma 90.00
_symmetry_space_group_name_H-M 'P m m 2'
_symmetry_Int_Tables_number 25
loop_
_symmetry_equiv_pos_as_xyz
'x,y,z'
'-x,-y,z'
'-x,y,z'
'x,-y,z'
loop_
_atom_site_label
_atom_site_type_symbol
_atom_site_fract_x
_atom_site_fract_y
_atom_site_fract_z
Th1 Th 0.000 0.000 0.000
Th2 Th 0.000 0.500 0.486
Cd1 Cd 0.500 0.000 0.658
Cd2 Cd 0.500 0.500 0.161
Cd3 Cd 0.500 0.500 0.825
Ag1 Ag 0.500 0.000 0.327
```

=====

Record 3
Crystalline ThCd2Ag at its relaxed geometry, computed with PBE.

The calculation puts the theoretical density at 9.4 Mg/m³. The calculation puts the uncorrected energy at -3.032 eV/atom. The density of states at the Fermi level is 2.77 states/eV/f.u.

The structure in CIF format:
```
data_ThCd2Ag
_chemical_formula_sum 'Th1 Cd2 Ag1'
_cell_length_a 4.457
_cell_length_b 4.457
_cell_length_c 5.048
_cell_angle_alpha 90.00
_cell_angle_beta 90.00
_cell_angle_gamma 90.00
_symmetry_space_group_name_H-M 'P 4/m m m'
_symmetry_Int_Tables_number 123
_symmetry_space_group_name_Hall '-P 4 2'
loop_
_atom_site_label
_atom_site_type_symbol
_atom_site_fract_x
_atom_site_fract_y
_atom_site_fract_z
Th1 Th 0.000 0.000 0.000
Cd1 Cd 0.000 0.500 0.500
Ag1 Ag 0.500 0.500 0.000
```